(1)
The following is a PBE calculation of RhSBr after structural relaxation, from the Alexandria database.

The calculation puts the electronic total energy at -14.399 eV/f.u.

Cell lengths 3.487, 3.487, 6.484 Å; angles 90.00, 90.00, 120.00 degrees
Atoms (fractional coordinates):
S: 0.333 0.667 0.542
Br: 0.000 0.000 0.097
Rh: 0.667 0.333 0.361

***

(2)
The following is a PBE calculation of CaY2Ta after structural relaxation, from the Alexandria database.

The value obtained for the relative energy among the computed polymorphs is 4.43 kcal/mol of atoms. The calculation puts the formation enthalpy at 0 K at 483 meV/atom. The calculation puts the electronic total energy at -24.852 eV/f.u.

Cell lengths 5.432, 5.432, 5.432 Å; angles 60.00, 60.00, 60.00 degrees
Atoms (fractional coordinates):
Ta: 0.500 0.500 0.500
Y: 0.250 0.250 0.250
Y: 0.750 0.750 0.750
Ca: 0.000 0.000 0.000

***

(3)
The following is a PBE calculation of AcLuAgRu after structural relaxation, from the Alexandria database.

The calculation puts the formation enthalpy at 0 K at -159 meV/atom. The calculation puts the electronic total energy at -21.394 eV/f.u.

Cell lengths 5.140, 5.140, 5.140 Å; angles 60.00, 60.00, 60.00 degrees
Atoms (fractional coordinates):
Ac: 0.250 0.250 0.250
Ag: 0.500 0.500 0.500
Lu: 0.750 0.750 0.750
Ru: 0.000 0.000 0.000